Entry 1:
La3Co5H12 | PBE | relaxed

## Properties
electronic total energy = -4.6971 eV/atom

abc: 10.0055 10.0055 10.0055
angles: 109.47 109.47 109.47
Element x y z (fractional)
La 0.7500 0.3750 0.1250
La 0.8750 0.7500 0.1250
La 0.3750 0.7500 0.6250
La 0.2500 0.1250 0.3750
La 0.8750 0.1250 0.2500
La 0.3750 0.6250 0.2500
La 0.6250 0.3750 0.7500
La 0.1250 0.8750 0.7500
La 0.7500 0.8750 0.6250
La 0.6250 0.2500 0.3750
La 0.1250 0.2500 0.8750
La 0.2500 0.6250 0.8750
Co 0.1250 0.3750 0.2500
Co 0.0000 0.5000 0.0000
Co 0.0000 0.0000 0.0000
Co 0.3750 0.2500 0.1250
Co 0.5000 0.0000 0.5000
Co 0.5000 0.5000 0.0000
Co 0.1250 0.7500 0.3750
Co 0.7500 0.1250 0.8750
Co 0.7500 0.6250 0.3750
Co 0.3750 0.1250 0.7500
Co 0.6250 0.8750 0.2500
Co 0.5000 0.5000 0.5000
Co 0.5000 0.0000 0.0000
Co 0.0000 0.0000 0.5000
Co 0.2500 0.3750 0.6250
Co 0.2500 0.8750 0.1250
Co 0.0000 0.5000 0.5000
Co 0.8750 0.2500 0.6250
Co 0.6250 0.7500 0.8750
Co 0.8750 0.6250 0.7500
H 0.6759 0.0908 0.9972
H 0.3213 0.4972 0.4064
H 0.0028 0.4092 0.3241
H 0.4972 0.1759 0.0908
H 0.5851 0.6759 0.6787
H 0.0028 0.5936 0.1787
H 0.3213 0.8241 0.4149
H 0.0936 0.9149 0.0908
H 0.5936 0.0028 0.6787
H 0.6759 0.5851 0.1787
H 0.8241 0.5028 0.4092
H 0.8213 0.9064 0.9972
H 0.0908 0.6759 0.4972
H 0.4092 0.4064 0.0851
H 0.0851 0.9064 0.4092
H 0.4149 0.0908 0.5936
H 0.0851 0.1787 0.1759
H 0.5028 0.6787 0.0936
H 0.8213 0.9149 0.3241
H 0.0908 0.4149 0.0936
H 0.4092 0.0028 0.8241
H 0.5936 0.5908 0.4149
H 0.9064 0.8213 0.4972
H 0.8241 0.3213 0.9149
H 0.4064 0.4092 0.5851
H 0.0936 0.1787 0.5028
H 0.1759 0.6787 0.0851
H 0.1787 0.0851 0.6759
H 0.5908 0.9972 0.1759
H 0.9092 0.5851 0.9064
H 0.4972 0.3213 0.9064
H 0.5851 0.9092 0.4064
H 0.9149 0.8213 0.8241
H 0.9149 0.0936 0.5908
H 0.9092 0.3241 0.5028
H 0.1787 0.0936 0.0028
H 0.5908 0.5936 0.9149
H 0.4064 0.9972 0.3213
H 0.3241 0.4149 0.8213
H 0.1759 0.4972 0.5908
H 0.9064 0.0851 0.9092
H 0.6787 0.1759 0.5851
H 0.5028 0.8241 0.9092
H 0.9972 0.4064 0.8213
H 0.4149 0.3241 0.3213
H 0.9972 0.5908 0.6759
H 0.6787 0.5028 0.5936
H 0.3241 0.9092 0.0028

***

Entry 2:
TaTe2RhN | PBE | relaxed

## Properties
formation energy without anion corrections = 0.478 eV/atom
ΔE to the lowest computed polymorph = 0.0 meV per atom

abc: 5.4742 5.4742 3.8239
angles: 90.00 90.00 90.00
Element x y z (fractional)
N 0.0000 0.0000 0.5000
Te 0.0000 0.5000 0.0000
Te 0.5000 0.0000 0.0000
Rh 0.5000 0.5000 0.5000
Ta 0.0000 0.0000 0.0000

***

Entry 3:
TmMgPd4 | PBE | relaxed

## Properties
calculated formation energy = -0.5323 eV/atom

abc: 3.0875 4.6477 7.6076
angles: 90.00 90.01 90.00
Element x y z (fractional)
Tm 0.5000 0.4974 0.9982
Mg 0.0023 0.9971 0.4980
Pd 0.5018 0.9974 0.2069
Pd 0.5018 0.9974 0.7894
Pd 0.0009 0.4972 0.6925
Pd 0.0010 0.4973 0.3039

***

Entry 4:
CaErSc2 | PBE | relaxed

## Properties
calculated formation energy = 0.1394 eV/atom
ΔE to the lowest computed polymorph = 0.0 meV per atom

abc: 3.4654 3.4654 9.8654
angles: 90.00 90.00 90.00
Element x y z (fractional)
Sc 0.0000 0.0000 0.7726
Sc 0.0000 0.0000 0.2274
Ca 0.5000 0.5000 0.5000
Er 0.5000 0.5000 0.0000

***

Entry 5:
PrYO4 | PBE | relaxed

## Properties
formation energy without anion corrections = -2.860 eV/atom

abc: 3.9651 3.9051 6.4431
angles: 96.56 90.00 120.51
Element x y z (fractional)
Pr 0.0528 0.1055 0.0193
Y 0.4427 0.8853 0.4798
O 0.6686 0.3371 0.8068
O 0.4012 0.8025 0.1192
O 0.1000 0.2001 0.4038
O 0.8347 0.6695 0.6710

***

Entry 6:
Sm12Sb5C2 | PBE | relaxed

## Properties
formation energy without anion corrections = -0.575 eV/atom

abc: 7.7132 9.3962 9.4697
angles: 105.49 90.00 114.23
Element x y z (fractional)
Sm 0.9986 0.9973 0.1712
Sm 0.0936 0.6954 0.9217
Sm 0.6018 0.6954 0.9217
Sm 0.1131 0.7121 0.4363
Sm 0.5990 0.7121 0.4363
Sm 0.4960 0.9920 0.8114
Sm 0.5040 0.0080 0.1886
Sm 0.8869 0.2879 0.5637
Sm 0.4010 0.2879 0.5637
Sm 0.9064 0.3046 0.0783
Sm 0.3982 0.3046 0.0783
Sm 0.0014 0.0027 0.8288
Sb 0.2974 0.5947 0.6504
Sb 0.3145 0.6291 0.1586
Sb 0.0000 0.0000 0.5000
Sb 0.6855 0.3709 0.8414
Sb 0.7026 0.4053 0.3496
C 0.7429 0.0000 0.0000
C 0.2571 0.0000 0.0000

***

- Which formula does entry 6 have?
  Sm12Sb5C2